Computed, not measured: a geometry-optimized LaSc2In structure at the PBE-GGA level of DFT.

a = 5.0101 Å, b = 3.4379 Å, c = 6.5003 Å
α = 76.24°, β = 90.00°, γ = 90.00°
Fractional coordinates of all 4 atoms:
In: 0.5000 0.2500 0.2500
La: 0.5000 0.7500 0.7500
Sc: 0.0000 0.0794 0.0229
Sc: 0.0000 0.4206 0.4771

***

Computed, not measured: a geometry-optimized LaSc2In structure at the PBE-GGA level of DFT.

a = 6.3463 Å, b = 6.3463 Å, c = 6.3463 Å
α = 146.36°, β = 128.41°, γ = 63.02°
Fractional coordinates of all 4 atoms:
In: 0.7500 0.2500 0.5000
La: 0.2500 0.7500 0.5000
Sc: 0.9750 0.9750 0.0000
Sc: 0.5250 0.5250 0.0000

***

Computed, not measured: a geometry-optimized LaSc2In structure at the PBE-GGA level of DFT.

a = 4.9608 Å, b = 4.9608 Å, c = 6.2224 Å
α = 66.51°, β = 66.51°, γ = 60.00°
Fractional coordinates of all 4 atoms:
La: 0.4899 0.4899 0.5303
Sc: 0.0376 0.0376 0.8871
Sc: 0.2766 0.2766 0.1701
In: 0.6959 0.6959 0.9124

***

Computed, not measured: a geometry-optimized LaSc2In structure at the PBE-GGA level of DFT.

a = 5.8509 Å, b = 5.8509 Å, c = 5.8170 Å
α = 74.95°, β = 74.95°, γ = 34.07°
Fractional coordinates of all 4 atoms:
In: 0.7500 0.7500 0.7500
La: 0.2500 0.2500 0.2500
Sc: 0.0183 0.0183 0.9925
Sc: 0.4817 0.4817 0.5075

***

Computed, not measured: a geometry-optimized La3ScIn2 structure at the PBE-GGA level of DFT.

a = 4.6128 Å, b = 5.0611 Å, c = 8.2311 Å
α = 107.91°, β = 90.00°, γ = 90.00°
Fractional coordinates of all 6 atoms:
La: 0.5000 0.5000 0.0000
La: 0.5000 0.8254 0.6508
La: 0.5000 0.1746 0.3492
Sc: 0.0000 0.0000 0.0000
In: 0.0000 0.3489 0.6979
In: 0.0000 0.6511 0.3021

***

Computed, not measured: a geometry-optimized La2ScIn structure at the PBE-GGA level of DFT.

a = 3.7570 Å, b = 4.6853 Å, c = 6.9251 Å
α = 90.00°, β = 90.00°, γ = 90.00°
Fractional coordinates of all 4 atoms:
Sc: 0.5000 0.5000 0.2500
In: 0.5000 0.5000 0.7500
La: 0.0000 0.0000 0.9947
La: 0.0000 0.0000 0.5053

***

Computed, not measured: a geometry-optimized La2ScIn structure at the PBE-GGA level of DFT.

a = 8.9123 Å, b = 8.9123 Å, c = 7.0378 Å
α = 50.71°, β = 50.71°, γ = 90.00°
Fractional coordinates of all 8 atoms:
Sc: 0.5000 0.5000 0.0000
Sc: 0.2500 0.7500 0.5000
In: 0.0000 0.0000 0.0000
In: 0.7500 0.2500 0.5000
La: 0.6307 0.1250 0.2500
La: 0.1193 0.6250 0.2500
La: 0.3750 0.3693 0.7500
La: 0.8750 0.8807 0.7500

***

Computed, not measured: a geometry-optimized LaSc2In2 structure at the PBE-GGA level of DFT.

a = 4.7366 Å, b = 4.7366 Å, c = 7.1652 Å
α = 70.70°, β = 70.70°, γ = 90.00°
Fractional coordinates of all 5 atoms:
Sc: 0.3838 0.3838 0.2324
Sc: 0.6162 0.6162 0.7676
In: 0.7500 0.2500 0.5000
In: 0.2500 0.7500 0.5000
La: 0.0000 0.0000 0.0000

***

Computed, not measured: a geometry-optimized LaSc2In structure at the PBE-GGA level of DFT.

a = 10.8169 Å, b = 10.8169 Å, c = 10.8169 Å
α = 18.02°, β = 18.02°, γ = 18.02°
Fractional coordinates of all 4 atoms:
In: 0.2500 0.2500 0.2500
La: 0.7500 0.7500 0.7500
Sc: 0.9952 0.9952 0.9952
Sc: 0.5048 0.5048 0.5048

***

Computed, not measured: a geometry-optimized La2ScIn structure at the PBE-GGA level of DFT.

a = 6.0486 Å, b = 6.0486 Å, c = 6.0486 Å
α = 132.62°, β = 132.62°, γ = 69.26°
Fractional coordinates of all 4 atoms:
Sc: 0.5000 0.5000 0.0000
In: 0.7500 0.2500 0.5000
La: 0.0000 0.0000 0.0000
La: 0.2500 0.7500 0.5000

***

Computed, not measured: a geometry-optimized La2ScIn2 structure at the PBE-GGA level of DFT.

a = 8.0181 Å, b = 8.0181 Å, c = 4.8183 Å
α = 90.00°, β = 90.00°, γ = 90.00°
Fractional coordinates of all 10 atoms:
Sc: 0.0000 0.0000 0.0000
Sc: 0.5000 0.5000 0.0000
In: 0.3683 0.8683 0.0000
In: 0.8683 0.6317 0.0000
In: 0.6317 0.1317 0.0000
In: 0.1317 0.3683 0.0000
La: 0.1704 0.6704 0.5000
La: 0.6704 0.8296 0.5000
La: 0.8296 0.3296 0.5000
La: 0.3296 0.1704 0.5000

***

Computed, not measured: a geometry-optimized La2ScIn2 structure at the PBE-GGA level of DFT.

a = 4.9416 Å, b = 6.1811 Å, c = 6.1811 Å
α = 67.31°, β = 66.44°, γ = 66.44°
Fractional coordinates of all 5 atoms:
La: 0.1849 0.3151 0.3151
La: 0.8151 0.6849 0.6849
Sc: 0.0000 0.0000 0.0000
In: 0.5000 0.2665 0.7335
In: 0.5000 0.7335 0.2665

***

Computed, not measured: a geometry-optimized LaSc3In4 structure at the PBE-GGA level of DFT.

a = 5.4276 Å, b = 6.9869 Å, c = 10.4109 Å
α = 90.00°, β = 90.00°, γ = 90.00°
Fractional coordinates of all 16 atoms:
Sc: 0.0000 0.0000 0.0000
Sc: 0.0000 0.0000 0.5000
Sc: 0.6245 0.0000 0.7500
Sc: 0.3755 0.0000 0.2500
Sc: 0.5860 0.5000 0.7500
Sc: 0.4140 0.5000 0.2500
In: 0.5000 0.7725 0.0000
In: 0.5000 0.7725 0.5000
In: 0.5000 0.2275 0.0000
In: 0.5000 0.2275 0.5000
In: 0.1180 0.7714 0.7500
In: 0.8820 0.7714 0.2500
In: 0.8820 0.2286 0.2500
In: 0.1180 0.2286 0.7500
La: 0.0000 0.5000 0.0000
La: 0.0000 0.5000 0.5000

***

Computed, not measured: a geometry-optimized LaSc2In structure at the PBE-GGA level of DFT.

a = 3.4770 Å, b = 3.4770 Å, c = 8.7319 Å
α = 90.00°, β = 90.00°, γ = 89.96°
Fractional coordinates of all 4 atoms:
In: 0.5000 0.5000 0.2500
La: 0.5000 0.5000 0.7500
Sc: 0.0000 0.0000 0.0340
Sc: 0.0000 0.0000 0.4660

***

Computed, not measured: a geometry-optimized La2ScIn structure at the PBE-GGA level of DFT.

a = 5.9579 Å, b = 5.9579 Å, c = 3.5714 Å
α = 90.00°, β = 90.00°, γ = 109.34°
Fractional coordinates of all 4 atoms:
In: 0.0000 0.5000 0.5000
La: 0.0000 0.0000 0.0000
La: 0.5000 0.5000 0.0000
Sc: 0.5000 0.0000 0.5000

***

Computed, not measured: a geometry-optimized La2ScIn structure at the PBE-GGA level of DFT.

a = 5.8545 Å, b = 3.3960 Å, c = 5.9713 Å
α = 83.13°, β = 90.00°, γ = 90.00°
Fractional coordinates of all 4 atoms:
In: 0.5000 0.7500 0.7500
La: 0.0000 0.9597 0.9845
La: 0.0000 0.5403 0.5155
Sc: 0.5000 0.2500 0.2500

***

Computed, not measured: a geometry-optimized La2ScIn structure at the PBE-GGA level of DFT.

a = 5.2513 Å, b = 6.7883 Å, c = 6.9990 Å
α = 103.94°, β = 90.00°, γ = 90.00°
Fractional coordinates of all 8 atoms:
La: 0.7500 0.1608 0.9136
La: 0.2500 0.8392 0.0864
La: 0.7500 0.1634 0.4202
La: 0.2500 0.8366 0.5798
Sc: 0.7500 0.6085 0.2781
Sc: 0.2500 0.3915 0.7220
In: 0.7500 0.6248 0.7827
In: 0.2500 0.3752 0.2173

***

Computed, not measured: a geometry-optimized La8Sc2In structure at the PBE-GGA level of DFT.

a = 5.0372 Å, b = 8.1212 Å, c = 9.4994 Å
α = 105.47°, β = 105.37°, γ = 90.00°
Fractional coordinates of all 11 atoms:
La: 0.5957 0.4533 0.1914
La: 0.3231 0.0923 0.6463
La: 0.1394 0.1864 0.2788
La: 0.0474 0.7340 0.0948
La: 0.8606 0.8136 0.7212
La: 0.6769 0.9077 0.3537
La: 0.4043 0.5467 0.8086
La: 0.9526 0.2660 0.9052
Sc: 0.2275 0.6297 0.4550
Sc: 0.7725 0.3703 0.5450
In: 0.5000 0.0000 0.0000

***

Computed, not measured: a geometry-optimized LaSc2In structure at the PBE-GGA level of DFT.

a = 4.5786 Å, b = 4.5786 Å, c = 11.3135 Å
α = 78.33°, β = 78.33°, γ = 90.00°
Fractional coordinates of all 8 atoms:
Sc: 0.6091 0.1250 0.2500
Sc: 0.1409 0.6250 0.2500
Sc: 0.3750 0.3909 0.7500
Sc: 0.8750 0.8591 0.7500
In: 0.5000 0.5000 0.0000
In: 0.2500 0.7500 0.5000
La: 0.0000 0.0000 0.0000
La: 0.7500 0.2500 0.5000

***

Computed, not measured: a geometry-optimized La2Sc2In3 structure at the PBE-GGA level of DFT.

a = 4.6984 Å, b = 3.2880 Å, c = 12.4526 Å
α = 90.00°, β = 79.13°, γ = 90.00°
Fractional coordinates of all 7 atoms:
La: 0.5782 0.5000 0.8436
La: 0.4218 0.5000 0.1564
Sc: 0.7107 0.5000 0.5785
Sc: 0.2893 0.5000 0.4215
In: 0.8337 0.0000 0.3327
In: 0.0000 0.0000 0.0000
In: 0.1663 0.0000 0.6673

***

Computed, not measured: a geometry-optimized La2ScIn2 structure at the PBE-GGA level of DFT.

a = 4.8812 Å, b = 6.5997 Å, c = 10.6513 Å
α = 83.02°, β = 76.75°, γ = 68.30°
Fractional coordinates of all 10 atoms:
La: 0.3159 0.2642 0.1040
La: 0.4867 0.3480 0.6787
La: 0.6841 0.7358 0.8960
La: 0.5133 0.6520 0.3213
Sc: 0.7850 0.0575 0.3725
Sc: 0.2150 0.9425 0.6275
In: 0.9771 0.1585 0.8872
In: 0.1366 0.3016 0.4253
In: 0.0229 0.8415 0.1128
In: 0.8634 0.6984 0.5747

***

Computed, not measured: a geometry-optimized LaSc2In structure at the PBE-GGA level of DFT.

a = 3.4693 Å, b = 4.6204 Å, c = 6.7080 Å
α = 90.00°, β = 90.00°, γ = 90.00°
Fractional coordinates of all 4 atoms:
In: 0.0000 0.0000 0.4775
La: 0.5000 0.5000 0.7484
Sc: 0.0000 0.0000 0.0225
Sc: 0.5000 0.5000 0.2516

***

Computed, not measured: a geometry-optimized LaScIn3 structure at the PBE-GGA level of DFT.

a = 5.8473 Å, b = 5.8473 Å, c = 5.8473 Å
α = 90.00°, β = 90.00°, γ = 90.00°
Site moments in Bohr magnetons follow the coordinates.
Fractional coordinates of all 5 atoms:
Sc: 0.5000 0.5000 0.5000  0.59
In: 0.0000 0.5000 0.0000  0.02
In: 0.0000 0.0000 0.5000  0.02
In: 0.5000 0.0000 0.0000  0.00
La: 0.0000 0.0000 0.0000  0.04

***

Computed, not measured: a geometry-optimized LaSc2In2 structure at the PBE-GGA level of DFT.

a = 4.8832 Å, b = 4.8832 Å, c = 12.4748 Å
α = 101.29°, β = 101.29°, γ = 90.00°
Site moments in Bohr magnetons follow the coordinates.
Fractional coordinates of all 10 atoms:
La: 0.6266 0.6266 0.2532  0.02
La: 0.3734 0.3734 0.7468  0.02
Sc: 0.7500 0.2500 0.5000  0.22
Sc: 0.9331 0.9331 0.8662  -0.01
Sc: 0.0669 0.0669 0.1338  -0.01
Sc: 0.2500 0.7500 0.5000  0.22
In: 0.0000 0.5000 0.0000  0.00
In: 0.1834 0.1834 0.3669  -0.01
In: 0.5000 0.0000 0.0000  0.00
In: 0.8166 0.8166 0.6331  -0.01

***

Computed, not measured: a geometry-optimized La5ScIn6 structure at the PBE-GGA level of DFT.

a = 5.5004 Å, b = 7.7395 Å, c = 9.5401 Å
α = 113.93°, β = 106.75°, γ = 90.00°
Fractional coordinates of all 12 atoms:
Sc: 0.0000 0.0000 0.0000
In: 0.8441 0.6138 0.6882
In: 0.8441 0.0744 0.6882
In: 0.5000 0.7839 0.0000
In: 0.5000 0.2161 0.0000
In: 0.1559 0.9256 0.3118
In: 0.1559 0.3862 0.3118
La: 0.6807 0.1807 0.3613
La: 0.3381 0.3381 0.6762
La: 0.0000 0.5000 0.0000
La: 0.6619 0.6619 0.3238
La: 0.3193 0.8193 0.6387

***

Computed, not measured: a geometry-optimized La5ScIn3 structure at the PBE-GGA level of DFT.

a = 6.9380 Å, b = 9.6590 Å, c = 9.6589 Å
α = 120.00°, β = 90.00°, γ = 90.00°
Fractional coordinates of all 18 atoms:
La: 0.0000 0.6667 0.3333
La: 0.5000 0.3333 0.6667
La: 0.0000 0.3333 0.6667
La: 0.5000 0.6667 0.3333
La: 0.7500 0.6651 0.6652
La: 0.7500 0.0000 0.3348
La: 0.7500 0.3348 0.0000
La: 0.2500 0.3349 0.3348
La: 0.2500 0.0000 0.6652
La: 0.2500 0.6652 0.0000
Sc: 0.0000 0.0000 0.0000
Sc: 0.5000 0.0000 0.0000
In: 0.7500 0.3220 0.3220
In: 0.7500 0.0000 0.6780
In: 0.7500 0.6780 0.0000
In: 0.2500 0.6780 0.6780
In: 0.2500 0.0000 0.3220
In: 0.2500 0.3220 0.0000

***

no.,calculated total energy (eV/atom)
1,-5.22
2,-5.26
3,-5.15
4,-5.24
5,-4.76
6,-4.94
7,-4.65
8,-4.72
9,-5.18
10,-4.95
11,-4.71
12,-4.69
13,-4.77
14,-5.29
15,-4.93
16,-4.83
17,-4.96
18,-5.04
19,-5.01
20,-4.75
21,-4.71
22,-5.27
23,-3.07
24,-4.87
25,-4.44
26,-4.68